74
Lattice="6.1985 -5.1404 0.0000 6.1985 5.1404 0.0000 -5.6579 0.0000 10.9104" Properties=species:S:1:pos:R:3 comment="Zr2H16SN3O6F9 PBE optimized geometry" mass_density_kg_m3=2578 sg=C2/m dos_ef_per_ev_atom=0.00 dft_energy_ha_per_atom=-0.2072 pbc="T T T"
Zr 1.9479 3.2915 6.6808
Zr 4.7912 3.2915 4.2296
Zr 1.9479 -3.2915 6.6808
Zr 4.7912 -3.2915 4.2296
H 3.2399 3.1701 1.6623
H 5.3410 3.8700 0.0176
H -0.7528 0.8289 7.3714
H 1.3982 3.8700 10.8928
H 1.5760 0.8360 3.5279
H 0.5137 2.6910 10.0659
H 3.9161 1.7087 1.9788
H 6.2255 2.6910 0.8445
H -0.7528 -0.8289 7.3714
H -0.4714 0.0000 8.8078
H 1.5760 -0.8360 3.5279
H 3.4992 3.1701 9.2481
H 1.9651 0.0000 4.9339
H 0.7046 0.0000 7.5587
H 3.0574 0.0000 3.6747
H 2.8230 1.7087 8.9316
H 3.9161 -1.7087 1.9788
H 3.6817 0.0000 7.2357
H 6.0345 0.0000 3.3517
H 4.7741 0.0000 5.9765
H 3.2399 -3.1701 1.6623
H 5.1632 0.8360 7.3825
H 7.2106 0.0000 2.1026
H 7.4919 0.8289 3.5390
H 0.5137 -2.6910 10.0659
H 2.8230 -1.7087 8.9316
H 6.2255 -2.6910 0.8445
H 5.1632 -0.8360 7.3825
H 5.3410 -3.8700 0.0176
H 7.4919 -0.8289 3.5390
H 1.3982 -3.8700 10.8928
H 3.4992 -3.1701 9.2481
S 3.5441 0.0000 0.0147
S 3.1951 0.0000 10.8957
N 6.1985 3.2700 0.0000
N -0.2992 0.0000 7.7910
N 2.0563 0.0000 3.9070
N 4.6829 0.0000 7.0034
N 7.0384 0.0000 3.1194
N 6.1985 -3.2700 0.0000
O 3.8698 2.6600 2.2634
O 2.0532 0.0000 0.0742
O -1.6250 1.2190 10.2156
O 2.8694 2.6600 8.6471
O 4.0864 0.0000 1.4195
O -1.6250 -1.2190 10.2156
O 8.3642 1.2190 0.6948
O 2.6528 0.0000 9.4909
O 3.8698 -2.6600 2.2634
O 8.3642 -1.2190 0.6948
O 4.6860 0.0000 10.8362
O 2.8694 -2.6600 8.6471
F 0.2703 2.5702 5.4552
F -3.5383 0.0000 7.6279
F 0.3676 3.3166 7.9560
F 2.5835 3.3744 4.5720
F -0.5139 0.0000 5.0372
F 4.1557 3.3744 6.3385
F 6.3715 3.3166 2.9545
F 2.1824 1.3035 6.5863
F 4.5568 1.3035 4.3241
F 0.2703 -2.5702 5.4552
F 2.1824 -1.3035 6.5863
F 4.5568 -1.3035 4.3241
F 0.3676 -3.3166 7.9560
F 2.5835 -3.3744 4.5720
F 7.2530 0.0000 5.8732
F 4.1557 -3.3744 6.3385
F 6.3715 -3.3166 2.9545
F 10.2775 0.0000 3.2825